[1]
PBE Ge2HOs, relaxed; symmetry = No. 225; D(E_F) = 2.35 states/eV/f.u.
1.0
2.158 -3.253 1.671
-1.389 -3.975 -0.549
2.128 -2.661 -2.533
Ge Os H
2 1 1
Direct
0.750 0.750 0.750
0.250 0.250 0.250
0.500 0.500 0.500
0.000 0.000 0.000

---

[2]
PBE Ge2H2Os, relaxed; symmetry = No. 139; D(E_F) = 1.54 states/eV/f.u.
1.0
2.997 0.000 0.000
0.000 2.997 0.000
1.499 1.499 6.061
H Ge Os
2 2 1
Direct
0.250 0.750 0.500
0.750 0.250 0.500
0.371 0.371 0.259
0.629 0.629 0.741
0.000 0.000 0.000

---

[3]
PBE GeH2Os2, relaxed; symmetry = No. 139; D(E_F) = 3.23 states/eV/f.u.
1.0
-3.453 1.457 1.451
0.926 -1.430 3.640
0.207 2.787 3.261
H Os Ge
2 2 1
Direct
0.329 0.329 0.342
0.671 0.671 0.658
0.750 0.250 0.500
0.250 0.750 0.500
0.000 0.000 0.000

---

Number 1: VASP energy -5.272 eV/atom. Number 2: VASP energy -4.965 eV/atom. Number 3: VASP energy -6.186 eV/atom.